a | This record from Alexandria via LeMat-Bulk describes a relaxed structure of Li3PbAu3. The functional is GGA-PBE.

Cell: 6.881 6.881 6.881 Å, 90.00 90.00 90.00°
Space group Pm-3n (No. 223)
One atom of each set of equivalent atoms:
Li: 0.000 0.250 0.500 [6 per cell]
Pb: 0.000 0.000 0.000 [2 per cell]
Au: 0.000 0.500 0.250 [6 per cell]

Its density of states at the Fermi level is 0.706 states/eV per atom.

***

b | This record from Alexandria via LeMat-Bulk describes a relaxed structure of Li3PbAu3. The functional is GGA-PBE.

Cell: 8.064 8.064 8.064 Å, 90.00 90.00 90.00°
Space group P2_13 (No. 198)
One atom of each set of equivalent atoms:
Li: 0.124 0.376 0.624 [4 per cell]
Li: 0.164 0.836 0.336 [4 per cell]
Li: 0.200 0.200 0.200 [4 per cell]
Pb: 0.050 0.550 0.950 [4 per cell]
Au: 0.011 0.191 0.902 [12 per cell]

Its density of states at the Fermi level is 0.296 states/eV per atom.

***

Here is how they stack up, most stable first: b, a.